# 1
DFT (PBEsol) results for an optimized crystal structure of CaCrBr2.

abc: 7.9525 7.9525 7.9525
angles: 135.63 135.63 64.55
Positions (direct):
Ca: 0.0000 0.0000 0.0000
Ca: 0.7500 0.2500 0.5000
Cr: 0.2500 0.7500 0.5000
Cr: 0.5000 0.5000 0.0000
Br: 0.1624 0.6250 0.0374
Br: 0.3750 0.4124 0.5374
Br: 0.5876 0.1250 0.9626
Br: 0.8750 0.8376 0.4626

Values from the calculation:
Relative energy among the computed polymorphs ... 110 meV per atom


# 2
DFT (PBEsol) results for an optimized crystal structure of Ca3CrBr.

abc: 5.5116 5.5116 5.5116
angles: 90.00 90.00 90.00
Positions (direct):
Ca: 0.0000 0.0000 0.5000
Ca: 0.0000 0.5000 0.0000
Ca: 0.5000 0.0000 0.0000
Cr: 0.5000 0.5000 0.5000
Br: 0.0000 0.0000 0.0000

Values from the calculation:
Total DFT energy (no corrections) ... -0.1309 Ha/atom


# 3
DFT (PBEsol) results for an optimized crystal structure of CaCr2Br.

abc: 3.3169 4.9714 5.4607
angles: 90.00 90.00 90.00
Positions (direct):
Ca: 0.0000 0.0000 0.0000
Cr: 0.5000 0.5000 0.1640
Cr: 0.5000 0.5000 0.8360
Br: 0.0000 0.0000 0.5000

Values from the calculation:
Relative energy among the computed polymorphs ... 178 meV per atom


# 4
DFT (PBEsol) results for an optimized crystal structure of CaCr2Br.

abc: 5.1031 5.1031 5.1031
angles: 60.00 60.00 60.00
Positions (direct):
Ca: 0.0000 0.0000 0.0000
Cr: 0.5000 0.5000 0.5000
Cr: 0.7500 0.7500 0.7500
Br: 0.2500 0.2500 0.2500

Values from the calculation:
Relative energy among the computed polymorphs ... 211 meV per atom


# 5
DFT (PBEsol) results for an optimized crystal structure of Ca2CrBr.

abc: 3.5874 3.5874 9.2111
angles: 90.00 90.00 90.00
Positions (direct):
Ca: 0.0000 0.0000 0.0000
Ca: 0.5000 0.5000 0.3317
Cr: 0.0000 0.0000 0.5549
Br: 0.5000 0.5000 0.8250

Values from the calculation:
Total DFT energy (no corrections) ... -0.1505 Ha/atom


# 6
DFT (PBEsol) results for an optimized crystal structure of CaCrBr2.

abc: 8.9266 8.9266 8.9266
angles: 25.82 25.82 25.82
Positions (direct):
Ca: 0.0000 0.0000 0.0000
Cr: 0.5000 0.5000 0.5000
Br: 0.1109 0.1109 0.1109
Br: 0.8891 0.8891 0.8891

Values from the calculation:
Relative energy among the computed polymorphs ... 111 meV per atom


# 7
DFT (PBEsol) results for an optimized crystal structure of CaCrBr2.

abc: 3.7709 3.7709 7.2946
angles: 90.00 90.00 90.00
Positions (direct):
Ca: 0.0000 0.0000 0.0000
Cr: 0.5000 0.5000 0.2871
Br: 0.0000 0.0000 0.4167
Br: 0.5000 0.5000 0.8004

Values from the calculation:
Relative energy among the computed polymorphs ... 3 meV per atom


# 8
DFT (PBEsol) results for an optimized crystal structure of CaCrBrO2.

abc: 4.4094 4.4094 5.0259
angles: 90.00 90.00 90.00
Positions (direct):
Ca: 0.0000 0.0000 0.0000
Cr: 0.5000 0.5000 0.0000
Br: 0.0000 0.0000 0.5000
O: 0.0000 0.5000 0.5000
O: 0.5000 0.0000 0.5000

Values from the calculation:
Total DFT energy (no corrections) ... -0.1579 Ha/atom


# 9
DFT (PBEsol) results for an optimized crystal structure of CaZr2CrBr.

abc: 4.6712 4.6712 5.7505
angles: 90.00 90.00 90.00
Positions (direct):
Ca: 0.0000 0.0000 0.0000
Zr: 0.0000 0.5000 0.5000
Zr: 0.5000 0.0000 0.5000
Cr: 0.5000 0.5000 0.5000
Br: 0.5000 0.5000 0.0000

Values from the calculation:
Total DFT energy (no corrections) ... -0.2209 Ha/atom


# 10
DFT (PBEsol) results for an optimized crystal structure of Cs2CaBr.

abc: 6.8320 6.8320 6.8320
angles: 60.00 60.00 60.00
Positions (direct):
Cs: 0.2500 0.2500 0.2500
Cs: 0.7500 0.7500 0.7500
Ca: 0.0000 0.0000 0.0000
Br: 0.5000 0.5000 0.5000

Values from the calculation:
Total DFT energy (no corrections) ... -0.0659 Ha/atom


# 11
DFT (PBEsol) results for an optimized crystal structure of Cs2CaBr4.

abc: 9.7240 9.7240 9.7240
angles: 146.46 146.46 48.16
Positions (direct):
Cs: 0.1415 0.1415 0.0000
Cs: 0.8585 0.8585 0.0000
Ca: 0.5000 0.5000 0.0000
Br: 0.0000 0.5000 0.5000
Br: 0.3397 0.3397 0.0000
Br: 0.5000 0.0000 0.5000
Br: 0.6603 0.6603 0.0000

Values from the calculation:
Total DFT energy (no corrections) ... -0.1309 Ha/atom


# 12
DFT (PBEsol) results for an optimized crystal structure of Cs2CaSeBr.

abc: 6.9836 6.9836 5.2251
angles: 90.00 90.00 90.00
Positions (direct):
Cs: 0.0000 0.5000 0.0000
Cs: 0.5000 0.0000 0.0000
Ca: 0.0000 0.0000 0.0000
Se: 0.5000 0.5000 0.5000
Br: 0.0000 0.0000 0.5000

Values from the calculation:
Total DFT energy (no corrections) ... -0.0872 Ha/atom


The calculation returns the following DOS(E_F) values, one per record and in order: 4.51; 6.52; 3.61; 3.56; 2.02; 4.67; 1.10; 2.48; 3.63; 3.83; 0.00; 4.54 states/eV per cell.
The calculation returns the following size of the total moment values, one per record and in order: 1.1027; 1.1925; 0.0004; 2.4146; 1.2248; 1.1458; 1.4544; 1.0303; 0.0001; 0.2430; 0.0000; 0.0441 μB per atom.